! GGA-PBE InIr2Ru, relaxed; values from VASP
! Energy of formation   0.1475 eV/atom
! V   15.643 Å³ per atom
! VASP energy   -7.287 eV/atom
! M_tot   0.36 μB per cell
&SYSTEM
  ibrav = 0, nat = 4, ntyp = 3
/
ATOMIC_SPECIES
In 114.82 In.upf
Ir 192.22 Ir.upf
Ru 101.07 Ru.upf
ATOMIC_POSITIONS crystal
In 0.0000 0.5000 0.5000
Ir 0.0000 0.0000 0.0000
Ir 0.5000 0.5000 0.0000
Ru 0.5000 0.0000 0.5000
CELL_PARAMETERS angstrom
4.8043 0.0028 0.0000
-1.4808 4.5703 0.0000
0.0000 0.0000 2.8491



! GGA-PBE InIr2Ru, relaxed; values from VASP
! Energy of formation   0.3476 eV/atom
! V   15.928 Å³ per atom
! VASP energy   -7.086 eV/atom
! M_tot   1.36 μB per cell
&SYSTEM
  ibrav = 0, nat = 4, ntyp = 3
/
ATOMIC_SPECIES
In 114.82 In.upf
Ru 101.07 Ru.upf
Ir 192.22 Ir.upf
ATOMIC_POSITIONS crystal
In 0.5000 0.5000 0.5000
Ru 0.2500 0.2500 0.2500
Ir 0.0000 0.0000 0.0000
Ir 0.7500 0.7500 0.7500
CELL_PARAMETERS angstrom
4.4831 0.0000 0.0000
2.2415 3.8825 0.0000
2.2415 1.2942 3.6604



! GGA-PBE InIr4Ru, relaxed; values from VASP
! Energy of formation   0.4841 eV/atom
! V   16.638 Å³ per atom
! VASP energy   -7.426 eV/atom
! M_tot   3.52 μB per cell
&SYSTEM
  ibrav = 0, nat = 6, ntyp = 3
/
ATOMIC_SPECIES
Ir 192.22 Ir.upf
Ru 101.07 Ru.upf
In 114.82 In.upf
ATOMIC_POSITIONS crystal
Ir 0.3751 0.3751 0.3751
Ir 0.8747 0.3751 0.3751
Ir 0.3751 0.8747 0.3751
Ir 0.3751 0.3751 0.8747
Ru 0.7500 0.7500 0.7500
In 0.0000 0.0000 0.0000
CELL_PARAMETERS angstrom
5.1780 0.4265 0.3454
2.1248 3.0090 3.6802
2.5303 -2.1724 3.9989



! GGA-PBE InIr2Ru, relaxed; values from VASP
! Energy of formation   0.2204 eV/atom
! V   15.735 Å³ per atom
! VASP energy   -7.214 eV/atom
! M_tot   0.00 μB per cell
&SYSTEM
  ibrav = 0, nat = 4, ntyp = 3
/
ATOMIC_SPECIES
Ir 192.22 Ir.upf
In 114.82 In.upf
Ru 101.07 Ru.upf
ATOMIC_POSITIONS crystal
Ir 0.9970 0.9970 0.9970
Ir 0.2487 0.2487 0.2487
In 0.7503 0.7503 0.7503
Ru 0.5039 0.5039 0.5039
CELL_PARAMETERS angstrom
9.0906 -0.0089 -0.0052
8.6462 2.8074 -0.0052
8.6462 1.3642 2.4537



! GGA-PBE InIr2Ru, relaxed; values from VASP
! Energy of formation   0.1071 eV/atom
! V   15.651 Å³ per atom
! VASP energy   -7.327 eV/atom
! M_tot   0.00 μB per cell
&SYSTEM
  ibrav = 0, nat = 4, ntyp = 3
/
ATOMIC_SPECIES
Ir 192.22 Ir.upf
In 114.82 In.upf
Ru 101.07 Ru.upf
ATOMIC_POSITIONS crystal
Ir 0.4936 0.4936 0.5157
Ir 0.0064 0.0064 0.9843
In 0.2500 0.2500 0.2500
Ru 0.7500 0.7500 0.7500
CELL_PARAMETERS angstrom
4.8491 0.0042 -0.0224
4.0136 2.7212 -0.0224
0.8005 0.2462 4.7462



! GGA-PBE InIr2Ru2, relaxed; values from VASP
! Energy of formation   0.2523 eV/atom
! V   16.140 Å³ per atom
! Energy above the lowest structure with this stoichiometry   0.08 eV/f.u.
! VASP energy   -7.550 eV/atom
! M_tot   0.00 μB per cell
&SYSTEM
  ibrav = 0, nat = 10, ntyp = 3
/
ATOMIC_SPECIES
Ir 192.22 Ir.upf
Ru 101.07 Ru.upf
In 114.82 In.upf
ATOMIC_POSITIONS crystal
Ir 0.3285 0.1715 0.5000
Ir 0.8285 0.3285 0.5000
Ir 0.6715 0.8285 0.5000
Ir 0.1715 0.6715 0.5000
Ru 0.6228 0.1228 0.0000
Ru 0.3772 0.8772 0.0000
Ru 0.1228 0.3772 0.0000
Ru 0.8772 0.6228 0.0000
In 0.5000 0.5000 0.0000
In 0.0000 0.0000 0.0000
CELL_PARAMETERS angstrom
-5.2539 -1.4914 -5.2775
5.3840 -2.7932 -4.5706
-0.3844 -2.5433 1.1014



! GGA-PBE InIr2Ru, relaxed; values from VASP
! Energy of formation   0.2896 eV/atom
! V   15.849 Å³ per atom
! VASP energy   -7.144 eV/atom
! M_tot   1.05 μB per cell
&SYSTEM
  ibrav = 0, nat = 4, ntyp = 3
/
ATOMIC_SPECIES
Ru 101.07 Ru.upf
In 114.82 In.upf
Ir 192.22 Ir.upf
ATOMIC_POSITIONS crystal
Ru 0.5000 0.0000 0.5000
In 0.0000 0.5000 0.5000
Ir 0.5000 0.5000 0.0000
Ir 0.0000 0.0000 0.0000
CELL_PARAMETERS angstrom
2.8970 0.0000 0.0000
0.0000 4.6899 0.0000
0.0000 0.0000 4.6660



! GGA-PBE In2Ir2Ru, relaxed; values from VASP
! Energy of formation   0.3535 eV/atom
! V   17.727 Å³ per atom
! VASP energy   -6.141 eV/atom
! M_tot   3.74 μB per cell
&SYSTEM
  ibrav = 0, nat = 10, ntyp = 3
/
ATOMIC_SPECIES
Ru 101.07 Ru.upf
Ir 192.22 Ir.upf
In 114.82 In.upf
ATOMIC_POSITIONS crystal
Ru 0.0000 0.0000 0.0000
Ru 0.5000 0.5000 0.0000
Ir 0.3708 0.8708 0.0000
Ir 0.1292 0.3708 0.0000
Ir 0.8708 0.6292 0.0000
Ir 0.6292 0.1292 0.0000
In 0.3296 0.1704 0.5000
In 0.6704 0.8296 0.5000
In 0.1704 0.6704 0.5000
In 0.8296 0.3296 0.5000
CELL_PARAMETERS angstrom
7.5139 0.0000 0.0000
0.0000 7.5139 0.0000
0.0000 0.0000 3.1398



! GGA-PBE InIr2Ru, relaxed; values from VASP
! Energy of formation   0.9676 eV/atom
! V   24.178 Å³ per atom
! VASP energy   -6.467 eV/atom
! M_tot   0.00 μB per cell
&SYSTEM
  ibrav = 0, nat = 8, ntyp = 3
/
ATOMIC_SPECIES
Ir 192.22 Ir.upf
Ru 101.07 Ru.upf
In 114.82 In.upf
ATOMIC_POSITIONS crystal
Ir 0.1688 0.6250 0.2500
Ir 0.8750 0.8312 0.7500
Ir 0.5812 0.1250 0.2500
Ir 0.3750 0.4188 0.7500
Ru 0.2500 0.7500 0.5000
Ru 0.5000 0.5000 0.0000
In 0.7500 0.2500 0.5000
In 0.0000 0.0000 0.0000
CELL_PARAMETERS angstrom
-2.4268 -4.2064 -3.1211
1.4051 -3.8365 4.0781
-5.5844 -3.0615 3.1297



! GGA-PBE InIr2Ru, relaxed; values from VASP
! Energy of formation   0.1442 eV/atom
! V   15.696 Å³ per atom
! VASP energy   -7.290 eV/atom
! M_tot   0.00 μB per cell
&SYSTEM
  ibrav = 0, nat = 4, ntyp = 3
/
ATOMIC_SPECIES
Ir 192.22 Ir.upf
In 114.82 In.upf
Ru 101.07 Ru.upf
ATOMIC_POSITIONS crystal
Ir 0.5000 0.1251 0.2972
Ir 0.0000 0.1251 0.9689
In 0.5000 0.6249 0.7919
Ru 0.0000 0.6249 0.4420
CELL_PARAMETERS angstrom
4.5109 0.0000 0.0000
0.0000 2.8400 -0.0082
0.0000 0.0150 4.9007



! GGA-PBE InIr2Ru, relaxed; values from VASP
! Energy of formation   0.0513 eV/atom
! V   15.695 Å³ per atom
! VASP energy   -7.383 eV/atom
! M_tot   0.00 μB per cell
&SYSTEM
  ibrav = 0, nat = 4, ntyp = 3
/
ATOMIC_SPECIES
Ru 101.07 Ru.upf
Ir 192.22 Ir.upf
In 114.82 In.upf
ATOMIC_POSITIONS crystal
Ru 0.5000 0.5000 0.2500
Ir 0.0000 0.0000 0.4808
Ir 0.0000 0.0000 0.0192
In 0.5000 0.5000 0.7500
CELL_PARAMETERS angstrom
-0.1422 0.2774 -2.8168
1.4505 -2.4147 -0.3110
-6.7037 -4.0196 -0.0574



! GGA-PBE InIr3Ru, relaxed; values from VASP
! Energy of formation   1.5270 eV/atom
! V   21.097 Å³ per atom
! Energy above the lowest structure with this stoichiometry   0.00 eV/f.u.
! VASP energy   -6.192 eV/atom
! M_tot   0.00 μB per cell
&SYSTEM
  ibrav = 0, nat = 5, ntyp = 3
/
ATOMIC_SPECIES
Ir 192.22 Ir.upf
Ru 101.07 Ru.upf
In 114.82 In.upf
ATOMIC_POSITIONS crystal
Ir 0.0000 0.5000 0.0000
Ir 0.5000 0.0000 0.0000
Ir 0.0000 0.0000 0.5000
Ru 0.0000 0.0000 0.0000
In 0.5000 0.5000 0.5000
CELL_PARAMETERS angstrom
4.7250 0.0000 0.0000
0.0000 4.7250 0.0000
0.0000 0.0000 4.7250



! GGA-PBE InIr2Ru, relaxed; values from VASP
! Energy of formation   0.2023 eV/atom
! V   15.707 Å³ per atom
! VASP energy   -7.232 eV/atom
! M_tot   0.00 μB per cell
&SYSTEM
  ibrav = 0, nat = 4, ntyp = 3
/
ATOMIC_SPECIES
In 114.82 In.upf
Ru 101.07 Ru.upf
Ir 192.22 Ir.upf
ATOMIC_POSITIONS crystal
In 0.5000 0.0000 0.5000
Ru 0.5000 0.5000 0.0000
Ir 0.0000 0.0000 0.0000
Ir 0.0000 0.5000 0.5000
CELL_PARAMETERS angstrom
-0.3108 0.2804 3.9907
-0.5312 -3.9142 0.2337
3.9092 -0.5102 0.3403



! GGA-PBE InIr2Ru, relaxed; values from VASP
! Energy of formation   0.2738 eV/atom
! V   15.963 Å³ per atom
! VASP energy   -7.160 eV/atom
! M_tot   0.00 μB per cell
&SYSTEM
  ibrav = 0, nat = 4, ntyp = 3
/
ATOMIC_SPECIES
Ru 101.07 Ru.upf
Ir 192.22 Ir.upf
In 114.82 In.upf
ATOMIC_POSITIONS crystal
Ru 0.7500 0.2500 0.5000
Ir 0.5139 0.5139 0.0000
Ir 0.9861 0.9861 0.0000
In 0.2500 0.7500 0.5000
CELL_PARAMETERS angstrom
-4.0351 -2.1281 -3.0961
1.2159 -2.9527 -4.4944
0.2238 0.7064 5.4633